1.
VASP calculation (PBE-GGA) on LaPuCo4 after structural relaxation.

Geometry as extended XYZ:
```
6
Lattice="5.1039 0.0000 0.0000 2.5520 4.4201 0.0000 2.5520 1.4734 4.1673" Properties=species:S:1:pos:R:3 pbc="T T T"
Co 3.8132 3.6919 2.6106
Co 6.3946 3.6919 2.6106
Co 5.1039 1.4564 2.6106
Co 5.1039 2.9467 0.5029
La 2.5520 1.4734 1.0418
Pu 0.0000 0.0000 0.0000
```

As for the calculated volume: 15.669 A^3/atom. The calculation puts the formation energy at -79 meV per atom.


2.
VASP calculation (PBE-GGA) on La2PuCo3 after structural relaxation.

Geometry as extended XYZ:
```
12
Lattice="5.7941 -0.5069 -5.3951 -2.6361 7.2633 1.7975 -2.6436 0.8192 8.7471" Properties=species:S:1:pos:R:3 pbc="T T T"
Co -1.2516 2.7600 4.0842
Co -2.0248 6.9641 2.8364
Co 1.7660 4.8155 1.0652
Co 2.5392 0.6115 2.3131
Co 0.1909 4.6598 -0.6109
Co 0.3235 2.9158 5.7604
La 0.0130 2.4418 1.3430
La 0.5014 5.1337 3.8065
La 2.6407 0.0216 -0.8956
La -2.1263 7.5539 6.0451
Pu 2.8099 4.4046 -1.4658
Pu -2.2955 3.1710 6.6153
```

As for the calculated volume: 21.530 A^3/atom. The calculation puts the formation energy at -49 meV per atom.


3.
VASP calculation (PBE-GGA) on LaPu2Co after structural relaxation.

Geometry as extended XYZ:
```
4
Lattice="-3.4186 0.0122 0.6056 -0.2555 -3.1764 -1.3778 1.2503 -3.1899 7.1222" Properties=species:S:1:pos:R:3 pbc="T T T"
Pu 1.0145 -2.5882 5.7788
Pu 0.2358 -0.6017 1.3434
Co -1.8370 -1.5821 -0.3861
La -1.2118 -3.1770 3.1750
```

As for the calculated volume: 23.816 A^3/atom. For the energy above the most stable polymorph in this dataset, the calculation gives 0 meV/atom. The calculation puts the formation energy at 128 meV per atom.


4.
VASP calculation (PBE-GGA) on La12PuCo7 after structural relaxation.

Geometry as extended XYZ:
```
20
Lattice="8.5495 -0.4362 -2.7774 -3.6954 7.7219 -2.7774 -0.2906 -0.4362 8.9846" Properties=species:S:1:pos:R:3 pbc="T T T"
Co -2.5432 5.2125 6.4393
Co 2.7004 7.0632 -4.2334
Co 2.2817 3.4248 1.7149
Co -3.2319 7.1889 -0.3413
Co 1.8630 -0.2137 7.6632
Co 7.7953 -0.3394 3.7710
Co 7.1066 1.6370 -3.0095
La -1.6669 4.9354 0.0581
La 3.2682 3.8535 4.3743
La 1.5008 0.3626 4.9755
La 2.9756 0.6490 1.5068
La 1.5878 6.2005 1.9230
La 3.0627 6.4869 -1.5457
La 1.2952 2.9960 -0.9445
La 4.8406 4.5003 0.9905
La 4.7116 1.5246 -1.6173
La 6.2303 1.9142 3.3717
La -0.2772 2.3492 2.4393
La -0.1482 5.3249 5.0471
Pu 0.0000 0.0000 0.0000
```

As for the calculated volume: 27.862 A^3/atom. The calculation puts the formation energy at -83 meV per atom.